(1)
Density functional theory data (PBE) for a relaxed Al7Ag crystal.

Calculated values
Space group: P4/mmm, No. 123
ΔH_f (0 K): 16 meV per atom

```
Al7Ag
1.0
4.065 0.000 0.000
0.000 4.065 0.000
0.000 0.000 8.074
Al Ag
7 1
Cartesian
0.000 0.000 0.000 Al
0.000 0.000 4.037 Al
0.000 2.033 1.982 Al
0.000 2.033 6.093 Al
2.033 0.000 1.982 Al
2.033 0.000 6.093 Al
2.033 2.033 0.000 Al
2.033 2.033 4.037 Ag
```

(2)
Density functional theory data (PBE) for a relaxed Pm2INCl crystal.

Calculated values
Space group: C2/m, No. 12
E_tot: -5.85 eV/atom

```
Pm2INCl
1.0
8.189 -2.014 0.000
8.189 2.014 0.000
-7.564 0.000 8.408
Pm I N Cl
4 2 2 2
Cartesian
-0.767 0.000 2.563 Pm
-1.020 0.000 7.954 Pm
9.835 0.000 0.455 Pm
9.581 0.000 5.845 Pm
2.390 0.000 3.316 I
6.424 0.000 5.092 I
1.036 0.000 6.957 N
7.778 0.000 1.451 N
-4.355 0.000 7.274 Cl
13.169 0.000 1.135 Cl
```

(3)
Density functional theory data (PBE) for a relaxed Er6Th2Sc crystal.

Calculated values
Space group: P-6m2, No. 187
ΔH_f (0 K): 79 meV per atom

```
Er6Th2Sc
1.0
3.512 0.000 0.000
-1.756 3.042 0.000
0.000 0.000 25.812
Er Th Sc
6 2 1
Cartesian
0.000 0.000 1.651 Er
0.000 0.000 7.434 Er
0.000 0.000 18.378 Er
0.000 0.000 24.160 Er
0.000 2.028 10.258 Er
0.000 2.028 15.553 Er
0.000 2.028 4.482 Th
0.000 2.028 21.330 Th
0.000 0.000 12.906 Sc
```

(4)
Density functional theory data (PBE) for a relaxed La3CdGe2Pd9 crystal.

Calculated values
Space group: P-3m1, No. 164
ΔH_f (0 K): -582 meV per atom

```
La3CdGe2Pd9
1.0
5.812 0.000 0.000
-2.906 5.033 0.000
0.000 0.000 11.394
La Cd Ge Pd
3 1 2 9
Cartesian
0.000 0.000 0.000 La
0.000 3.355 7.200 La
2.906 1.678 4.194 La
0.000 0.000 5.697 Cd
0.000 3.355 1.809 Ge
2.906 1.678 9.585 Ge
-1.453 2.517 0.000 Pd
0.000 1.631 3.515 Pd
-1.493 4.217 3.515 Pd
1.413 0.816 7.879 Pd
2.906 0.000 0.000 Pd
1.453 2.517 0.000 Pd
1.493 4.217 3.515 Pd
4.399 0.816 7.879 Pd
2.906 3.402 7.879 Pd
```

(5)
Density functional theory data (PBE) for a relaxed LaReIO2 crystal.

Calculated values
Space group: P4/mmm, No. 123
E_tot: -5.97 eV/atom

```
LaReIO2
1.0
4.391 0.000 0.000
0.000 4.391 0.000
0.000 0.000 6.877
La Re I O
1 1 1 2
Cartesian
0.000 0.000 0.000 La
2.195 2.195 3.439 Re
0.000 0.000 3.439 I
0.000 2.195 0.000 O
2.195 0.000 0.000 O
```

(6)
Density functional theory data (PBE) for a relaxed MgGaTe2 crystal.

Calculated values
Space group: R3m, No. 160
E_tot: -3.12 eV/atom

```
MgGaTe2
1.0
2.044 1.180 7.503
-2.044 1.180 7.503
0.000 -2.360 7.503
Mg Ga Te
1 1 2
Cartesian
0.000 0.000 0.000 Mg
0.000 0.000 18.767 Ga
0.000 0.000 9.263 Te
0.000 0.000 13.190 Te
```

| no. | density of states at the Fermi level (states/eV per atom) | size of the total moment (μB per atom) |
| --- | --- | --- |
| 1 | 0.5369 | 0.000 |
| 2 | 0.4488 | 0.000 |
| 3 | 2.0846 | 0.000 |
| 4 | 0.4515 | 0.000 |
| 5 | 0.6480 | 0.974 |
| 6 | 0.4794 | 0.000 |